Density functional theory data (PBE) for YCdH after structural relaxation.

Summary:
DOS(E_F) = 1.9 states/eV/cell
E_tot = -4.072 eV per atom

a = 3.6559 Å, b = 3.6560 Å, c = 8.1516 Å
α = 90.00°, β = 90.00°, γ = 89.99°
Closest atoms and distances in Å follow each position.
Positions (direct):
Y (0.9805, 0.9929, 0.0335)  4 H 2.22
Y (0.4805, 0.4928, 0.7241)  4 H 2.22
Cd (0.9805, 0.9928, 0.4755)  4 Cd 3.03, 4 Y 3.28-3.29
Cd (0.4805, 0.4930, 0.2822)  4 Cd 3.03, 4 Y 3.28-3.29
H (0.4806, 0.9928, 0.8788)  4 Y 2.22
H (0.9805, 0.4929, 0.8788)  4 Y 2.22